[1]
Below is an optimized crystal structure of PIrRh, with properties calculated at the PBE level.

Results
SG: P3m1
Polymorph energy (0 for the lowest one), meV per atom: 392
Formation enthalpy at 0 K, eV per atom: -0.19

CIF file:
```
data_PIrRh
_cell_length_a 2.872
_cell_length_b 2.872
_cell_length_c 5.838
_cell_angle_alpha 90.00
_cell_angle_beta 90.00
_cell_angle_gamma 120.00
_space_group_name_H-M_alt 'P 1'
_space_group_IT_number 1
_space_group_name_Hall 'P 1'
loop_
_atom_site_label
_atom_site_type_symbol
_atom_site_fract_x
_atom_site_fract_y
_atom_site_fract_z
P1 P 0.667 0.333 0.336
Ir1 Ir 0.000 0.000 0.036
Rh1 Rh 0.333 0.667 0.628
```

***

[2]
Below is an optimized crystal structure of PIrRh2, with properties calculated at the PBE level.

Results
SG: Pmmm
Formation enthalpy at 0 K, eV per atom: 0.04

CIF file:
```
data_PIrRh2
_cell_length_a 2.771
_cell_length_b 3.698
_cell_length_c 5.451
_cell_angle_alpha 90.00
_cell_angle_beta 90.00
_cell_angle_gamma 90.00
_space_group_name_H-M_alt 'P 1'
_space_group_IT_number 1
_space_group_name_Hall 'P 1'
loop_
_atom_site_label
_atom_site_type_symbol
_atom_site_fract_x
_atom_site_fract_y
_atom_site_fract_z
P1 P 0.500 0.500 0.500
Ir1 Ir 0.500 0.500 0.000
Rh1 Rh 0.000 0.000 0.746
Rh2 Rh 0.000 0.000 0.254
```